Entry 1:
{"formula": "Sm2AlZn3Ni12", "functional": "PBE", "state": "relaxed", "energy_ha_per_atom": -0.1747, "density_kg_m3": 7551, "magnetic_moment_mub_per_fu": 0.00, "space_group": "No. 166", "lattice_angstrom": [[9.0343, 1.7788, 1.2617], [6.0084, 6.9772, 1.2617], [6.0084, 3.4974, 6.1678]], "species": ["Sm", "Sm", "Al", "Zn", "Zn", "Zn", "Ni", "Ni", "Ni", "Ni", "Ni", "Ni", "Ni", "Ni", "Ni", "Ni", "Ni", "Ni"], "frac_coords": [[0.6517, 0.6517, 0.6517], [0.3483, 0.3483, 0.3483], [0.0000, 0.0000, 0.0000], [0.5000, 0.0000, 0.0000], [0.0000, 0.5000, 0.0000], [0.0000, 0.0000, 0.5000], [0.4214, 0.4214, 0.8108], [0.9279, 0.9279, 0.3539], [0.3539, 0.9279, 0.9279], [0.8108, 0.4214, 0.4214], [0.9279, 0.3539, 0.9279], [0.4214, 0.8108, 0.4214], [0.5786, 0.5786, 0.1892], [0.0721, 0.0721, 0.6461], [0.6461, 0.0721, 0.0721], [0.1892, 0.5786, 0.5786], [0.0721, 0.6461, 0.0721], [0.5786, 0.1892, 0.5786]]}

---

Entry 2:
{"formula": "TbHRh2", "functional": "PBE", "state": "relaxed", "energy_ha_per_atom": -0.1987, "density_kg_m3": 10522, "magnetic_moment_mub_per_fu": 0.00, "space_group": "No. 166", "lattice_angstrom": [[-0.3047, 2.7132, 1.2140], [-1.7112, 2.0517, -1.3379], [-6.5817, -0.8111, 3.8379]], "species": ["Rh", "Rh", "Tb", "H"], "frac_coords": [[0.1156, 0.1156, 0.6531], [0.8844, 0.8844, 0.3469], [0.0000, 0.0000, 0.0000], [0.5000, 0.5000, 0.5000]]}

---

Entry 3:
{"formula": "Rb2InSnHg6", "functional": "PBE", "state": "relaxed", "energy_ha_per_atom": -0.0415, "density_kg_m3": 6848, "magnetic_moment_mub_per_fu": 0.00, "space_group": "No. 12", "lattice_angstrom": [[-3.6458, -3.5953, 6.4323], [7.0556, -3.7793, 1.8780], [3.2061, 0.7646, 7.5029]], "species": ["Rb", "Rb", "In", "Sn", "Hg", "Hg", "Hg", "Hg", "Hg", "Hg"], "frac_coords": [[0.2500, 0.7500, 0.5000], [0.7500, 0.2500, 0.5000], [0.5000, 0.5000, 0.0000], [0.0000, 0.0000, 0.0000], [0.2516, 0.7484, 0.0000], [0.7484, 0.7484, 0.0004], [0.2514, 0.2514, 0.4974], [0.7484, 0.2516, 0.0000], [0.2516, 0.2516, 0.9996], [0.7486, 0.7486, 0.5026]]}

---

Entry 4:
{"formula": "CaDy2Au3", "functional": "PBE", "state": "relaxed", "energy_ha_per_atom": -0.1600, "density_kg_m3": 11170, "polymorph_energy_ev_per_atom": 0.0000, "magnetic_moment_mub_per_fu": 0.00, "space_group": "No. 123", "lattice_angstrom": [[-1.0122, -3.3989, -0.6215], [2.7505, -0.4006, -2.2886], [6.3681, -3.4049, 8.2492]], "species": ["Ca", "Dy", "Dy", "Au", "Au", "Au"], "frac_coords": [[0.5000, 0.5000, 0.5000], [0.5000, 0.5000, 0.8335], [0.5000, 0.5000, 0.1665], [0.0000, 0.0000, 0.0000], [0.0000, 0.0000, 0.6824], [0.0000, 0.0000, 0.3176]]}

---

Entry 5:
{"formula": "NaTbInBi", "functional": "PBE", "state": "relaxed", "energy_ha_per_atom": -0.1264, "density_kg_m3": 7369, "magnetic_moment_mub_per_fu": 0.00, "space_group": "No. 216", "lattice_angstrom": [[5.4419, 0.0000, 0.0000], [2.7209, 4.7128, 0.0000], [2.7209, 1.5709, 4.4433]], "species": ["Na", "Tb", "Bi", "In"], "frac_coords": [[0.7500, 0.7500, 0.7500], [0.2500, 0.2500, 0.2500], [0.5000, 0.5000, 0.5000], [0.0000, 0.0000, 0.0000]]}

---

Entry 6:
{"formula": "NaPuZn2", "functional": "PBE", "state": "relaxed", "energy_ha_per_atom": -0.1655, "density_kg_m3": 7653, "polymorph_energy_ev_per_atom": 0.0000, "magnetic_moment_mub_per_fu": 5.74, "space_group": "No. 123", "lattice_angstrom": [[-0.3911, -2.3999, 1.5377], [1.5410, -3.0114, -4.3080], [5.2032, 0.2380, 1.6948]], "species": ["Na", "Zn", "Zn", "Pu"], "frac_coords": [[0.5000, 0.5000, 0.5000], [0.0000, 0.0000, 0.5000], [0.0000, 0.5000, 0.0000], [0.5000, 0.0000, 0.0000]]}

---

Entry 7:
{"formula": "PN3Cl", "functional": "PBE", "state": "relaxed", "energy_ha_per_atom": -0.1744, "density_kg_m3": 4079, "raw_formation_energy_ev_per_atom": 1.701, "magnetic_moment_mub_per_fu": 0.00, "space_group": "No. 221", "lattice_angstrom": [[-2.2665, -2.6910, -0.3369], [1.4019, -0.7867, -3.1477], [2.3216, -2.1522, 1.5719]], "species": ["P", "N", "N", "N", "Cl"], "frac_coords": [[0.0000, 0.0000, 0.0000], [0.0000, 0.5000, 0.0000], [0.0000, 0.0000, 0.5000], [0.5000, 0.0000, 0.0000], [0.5000, 0.5000, 0.5000]]}

---

Entry 8:
{"formula": "LiYTlRu", "functional": "PBE", "state": "relaxed", "energy_ha_per_atom": -0.1884, "density_kg_m3": 8548, "magnetic_moment_mub_per_fu": 0.00, "space_group": "No. 216", "lattice_angstrom": [[-4.1294, -0.1186, 2.4345], [-3.2417, -3.4052, -0.9423], [-0.8050, -3.4914, 3.1866]], "species": ["Y", "Ru", "Tl", "Li"], "frac_coords": [[0.7500, 0.7500, 0.7500], [0.0000, 0.0000, 0.0000], [0.2500, 0.2500, 0.2500], [0.5000, 0.5000, 0.5000]]}

---

Entry 9:
{"formula": "TaTl2Zn", "functional": "PBE", "state": "relaxed", "energy_ha_per_atom": -0.1511, "density_kg_m3": 12001, "polymorph_energy_ev_per_atom": 0.0000, "magnetic_moment_mub_per_fu": 0.00, "space_group": "No. 35", "lattice_angstrom": [[3.0270, 0.0350, 0.0000], [-0.0494, 3.0268, 0.0000], [0.0000, 0.0000, 9.8916]], "species": ["Ta", "Tl", "Tl", "Zn"], "frac_coords": [[0.5000, 0.5000, 0.7174], [0.0000, 0.0000, 0.9663], [0.5000, 0.5000, 0.2783], [0.0000, 0.0000, 0.5380]]}

---

Entry 10:
{"formula": "ZrCuBi2Br", "functional": "PBE", "state": "relaxed", "energy_ha_per_atom": -0.1448, "density_kg_m3": 8007, "raw_formation_energy_ev_per_atom": 0.475, "magnetic_moment_mub_per_fu": 0.00, "space_group": "No. 123", "lattice_angstrom": [[-4.2096, -3.2256, -0.0351], [0.8226, -1.0232, -4.6293], [3.0958, -4.0559, 1.4465]], "species": ["Br", "Bi", "Bi", "Zr", "Cu"], "frac_coords": [[0.0000, 0.5000, 0.0000], [0.0000, 0.0000, 0.5000], [0.5000, 0.0000, 0.0000], [0.5000, 0.5000, 0.5000], [0.0000, 0.0000, 0.0000]]}

---

Entry 11:
{"formula": "CrRuW", "functional": "PBE", "state": "relaxed", "energy_ha_per_atom": -0.3723, "density_kg_m3": 12621, "polymorph_energy_ev_per_atom": 0.3276, "magnetic_moment_mub_per_fu": 0.00, "space_group": "No. 63", "lattice_angstrom": [[-2.4487, -3.4300, -1.3471], [1.4635, -0.0861, -2.4411], [5.3434, -4.4827, 1.7009]], "species": ["W", "W", "Cr", "Cr", "Ru", "Ru"], "frac_coords": [[0.7500, 0.6331, 0.7338], [0.2500, 0.3669, 0.2662], [0.5000, 0.0000, 0.0000], [0.0000, 0.0000, 0.0000], [0.7500, 0.8143, 0.3714], [0.2500, 0.1857, 0.6286]]}

---

Entry 12:
{"formula": "ZrMnIrRu", "functional": "PBE", "state": "relaxed", "energy_ha_per_atom": -0.3437, "density_kg_m3": 11392, "magnetic_moment_mub_per_fu": 4.31, "space_group": "No. 216", "lattice_angstrom": [[4.4912, 0.0000, 0.0000], [2.2456, 3.8895, 0.0000], [2.2456, 1.2965, 3.6670]], "species": ["Ru", "Ir", "Zr", "Mn"], "frac_coords": [[0.7500, 0.7500, 0.7500], [0.2500, 0.2500, 0.2500], [0.5000, 0.5000, 0.5000], [0.0000, 0.0000, 0.0000]]}

---

Entry 13:
{"formula": "UCrSi", "functional": "PBE", "state": "relaxed", "energy_ha_per_atom": -0.3254, "density_kg_m3": 10535, "raw_formation_energy_ev_per_atom": -0.076, "magnetic_moment_mub_per_fu": 1.28, "space_group": "No. 187", "lattice_angstrom": [[3.0519, 0.0000, 0.0000], [0.0000, 4.3555, 0.0000], [0.0000, -2.1778, 3.7720]], "species": ["Cr", "Si", "U"], "frac_coords": [[0.5000, 0.6667, 0.3333], [0.5001, 0.3333, 0.6667], [0.0000, 0.0000, 0.0000]]}

---

Entry 14:
{"formula": "AcTbPbI", "functional": "PBE", "state": "relaxed", "energy_ha_per_atom": -0.1516, "density_kg_m3": 9203, "raw_formation_energy_ev_per_atom": -0.625, "magnetic_moment_mub_per_fu": 0.01, "space_group": "No. 216", "lattice_angstrom": [[5.6849, 0.0000, 0.0000], [2.8424, 4.9232, 0.0000], [2.8424, 1.6411, 4.6417]], "species": ["Pb", "I", "Ac", "Tb"], "frac_coords": [[0.5000, 0.5000, 0.5000], [0.0000, 0.0000, 0.0000], [0.7500, 0.7500, 0.7500], [0.2500, 0.2500, 0.2500]]}

---

Entry 15:
{"formula": "AlPC", "functional": "PBE", "state": "relaxed", "energy_ha_per_atom": -0.2227, "density_kg_m3": 2602, "polymorph_energy_ev_per_atom": 0.0810, "magnetic_moment_mub_per_fu": 0.00, "space_group": "No. 12", "lattice_angstrom": [[6.9373, 0.0000, -0.0004], [0.0000, 3.3986, 0.0000], [-5.5584, 0.0000, 7.5750]], "species": ["P", "P", "P", "P", "C", "C", "C", "C", "Al", "Al", "Al", "Al"], "frac_coords": [[0.8666, 0.0000, 0.6907], [0.1334, 0.0000, 0.3093], [0.8666, 0.5000, 0.1907], [0.1334, 0.5000, 0.8093], [0.6951, 0.0000, 0.7710], [0.3049, 0.0000, 0.2290], [0.6951, 0.5000, 0.2710], [0.3049, 0.5000, 0.7290], [0.3296, 0.0000, 0.6301], [0.6704, 0.0000, 0.3699], [0.3296, 0.5000, 0.1301], [0.6704, 0.5000, 0.8699]]}

---

Entry 16:
{"formula": "Ba2NpBO6", "functional": "PBE", "state": "relaxed", "energy_ha_per_atom": -0.2930, "density_kg_m3": 6491, "raw_formation_energy_ev_per_atom": -2.652, "magnetic_moment_mub_per_fu": 2.00, "space_group": "No. 139", "lattice_angstrom": [[-2.7592, -1.1740, 5.1085], [0.7880, -5.8430, 0.5677], [2.9489, -2.7551, 5.1369]], "species": ["Ba", "Ba", "Np", "B", "O", "O", "O", "O", "O", "O"], "frac_coords": [[0.7500, 0.2500, 0.5001], [0.2500, 0.7500, 0.4999], [0.0000, 0.0000, 0.0000], [0.5000, 0.5000, 0.0000], [0.2204, 0.2204, 0.5595], [0.7799, 0.7799, 0.9997], [0.3269, 0.6732, 0.0000], [0.6731, 0.3268, 0.0000], [0.2201, 0.2201, 0.0003], [0.7796, 0.7796, 0.4405]]}

---

Entry 17:
{"formula": "YCoSi", "functional": "PBE", "state": "relaxed", "energy_ha_per_atom": -0.2435, "density_kg_m3": 5220, "raw_formation_energy_ev_per_atom": -0.295, "magnetic_moment_mub_per_fu": 0.80, "space_group": "No. 216", "lattice_angstrom": [[-3.8532, -1.8582, -0.3666], [-0.8901, -3.5557, 2.2359], [-2.7796, 0.1589, 3.2684]], "species": ["Co", "Si", "Y"], "frac_coords": [[0.2500, 0.2500, 0.2500], [0.0000, 0.0000, 0.0000], [0.5000, 0.5000, 0.5000]]}

---

Entry 18:
{"formula": "La2TbGa2Ag2", "functional": "PBE", "state": "relaxed", "energy_ha_per_atom": -0.1525, "density_kg_m3": 7732, "magnetic_moment_mub_per_fu": 0.00, "space_group": "No. 166", "lattice_angstrom": [[-1.5005, 2.4762, 3.6420], [-4.3173, -0.6248, 1.6180], [1.1009, -5.8172, 7.3807]], "species": ["La", "La", "Tb", "Ga", "Ga", "Ag", "Ag"], "frac_coords": [[0.1292, 0.1292, 0.6123], [0.8708, 0.8708, 0.3877], [0.0000, 0.0000, 0.0000], [0.7343, 0.7343, 0.7972], [0.2657, 0.2657, 0.2028], [0.6068, 0.6068, 0.1797], [0.3932, 0.3932, 0.8203]]}

---

Entry 19:
{"formula": "U3Tl4NiS8", "functional": "PBE", "state": "relaxed", "energy_ha_per_atom": -0.2199, "density_kg_m3": 7650, "raw_formation_energy_ev_per_atom": -0.849, "magnetic_moment_mub_per_fu": 6.01, "space_group": "No. 166", "lattice_angstrom": [[-5.8863, 2.4957, -4.4041], [-1.3276, -8.2940, -2.9254], [-0.2367, 0.9503, 7.6978]], "species": ["U", "U", "U", "Tl", "Tl", "Tl", "Tl", "Ni", "S", "S", "S", "S", "S", "S", "S", "S"], "frac_coords": [[0.5000, 0.5000, 0.0000], [0.5000, 0.5000, 0.5000], [0.0000, 0.5000, 0.5000], [0.5000, 0.0000, 0.0000], [0.5000, 0.0000, 0.5000], [0.0000, 0.0000, 0.0000], [0.0000, 0.0000, 0.5000], [0.0000, 0.5000, 0.0000], [0.2236, 0.6886, 0.9649], [0.2233, 0.6883, 0.4467], [0.2660, 0.2981, 0.5320], [0.7413, 0.6886, 0.9649], [0.2587, 0.3114, 0.0351], [0.7340, 0.7019, 0.4680], [0.7767, 0.3117, 0.5533], [0.7764, 0.3114, 0.0351]]}

---

Entry 20:
{"formula": "CeTmPb", "functional": "PBE", "state": "relaxed", "energy_ha_per_atom": -0.1794, "density_kg_m3": 9915, "magnetic_moment_mub_per_fu": 1.13, "space_group": "No. 107", "lattice_angstrom": [[-1.8150, 2.0666, 3.0648], [-3.5532, -1.9165, -0.8119], [3.9457, -3.7924, 2.1273]], "species": ["Pb", "Tm", "Ce"], "frac_coords": [[0.9447, 0.9447, 0.8895], [0.2966, 0.2966, 0.5932], [0.6086, 0.6086, 0.2173]]}

---

Entry 21:
{"formula": "Ho2Ga3", "functional": "PBE", "state": "relaxed", "energy_ha_per_atom": -0.1570, "density_kg_m3": 8134, "magnetic_moment_mub_per_fu": 0.06, "space_group": "No. 63", "lattice_angstrom": [[4.0922, 0.0000, -0.6736], [0.0000, 4.1562, 0.0000], [0.0279, 0.0000, 12.9361]], "species": ["Ho", "Ho", "Ho", "Ho", "Ga", "Ga", "Ga", "Ga", "Ga", "Ga"], "frac_coords": [[0.2958, 0.7500, 0.5916], [0.7042, 0.2500, 0.4084], [0.5725, 0.7500, 0.1451], [0.4275, 0.2500, 0.8549], [0.1758, 0.7500, 0.3517], [0.8242, 0.2500, 0.6483], [0.8807, 0.7500, 0.7614], [0.1193, 0.2500, 0.2386], [0.0240, 0.2500, 0.0480], [0.9760, 0.7500, 0.9520]]}

---

Entry 22:
{"formula": "ErCu4Ge4", "functional": "PBE", "state": "relaxed", "energy_ha_per_atom": -0.1647, "density_kg_m3": 7958, "magnetic_moment_mub_per_fu": 0.00, "space_group": "No. 137", "lattice_angstrom": [[-4.7229, -0.8073, 3.4928], [-3.4710, -0.4151, -4.7893], [1.2780, -8.3521, -0.2024]], "species": ["Er", "Er", "Cu", "Cu", "Cu", "Cu", "Cu", "Cu", "Cu", "Cu", "Ge", "Ge", "Ge", "Ge", "Ge", "Ge", "Ge", "Ge"], "frac_coords": [[0.0000, 0.0000, 0.0000], [0.5000, 0.5000, 0.5000], [0.2189, 0.5000, 0.9260], [0.7811, 0.5000, 0.9260], [0.5000, 0.7811, 0.0740], [0.5000, 0.2189, 0.0740], [0.0000, 0.7189, 0.4260], [0.0000, 0.2811, 0.4260], [0.2811, 0.0000, 0.5740], [0.7189, 0.0000, 0.5740], [0.5000, 0.7764, 0.7881], [0.5000, 0.2236, 0.7881], [0.7764, 0.5000, 0.2119], [0.2236, 0.5000, 0.2119], [0.2764, 0.0000, 0.2881], [0.7236, 0.0000, 0.2881], [0.0000, 0.2764, 0.7119], [0.0000, 0.7236, 0.7119]]}

---

Entry 23:
{"formula": "NaTi4Se8", "functional": "PBE", "state": "relaxed", "energy_ha_per_atom": -0.2104, "density_kg_m3": 4492, "raw_formation_energy_ev_per_atom": -1.050, "polymorph_energy_ev_per_atom": 0.1176, "magnetic_moment_mub_per_fu": 0.35, "space_group": "No. 216", "lattice_angstrom": [[7.6196, 0.0000, 0.0000], [3.8098, 6.5987, 0.0000], [3.8098, 2.1996, 6.2213]], "species": ["Na", "Ti", "Ti", "Ti", "Ti", "Se", "Se", "Se", "Se", "Se", "Se", "Se", "Se"], "frac_coords": [[0.7500, 0.7500, 0.7500], [0.8909, 0.3697, 0.3697], [0.3697, 0.8909, 0.3697], [0.3697, 0.3697, 0.8909], [0.3697, 0.3697, 0.3697], [0.6099, 0.1300, 0.1300], [0.1300, 0.6099, 0.1300], [0.1300, 0.1300, 0.6099], [0.1300, 0.1300, 0.1300], [0.1689, 0.6104, 0.6104], [0.6104, 0.1689, 0.6104], [0.6104, 0.6104, 0.1689], [0.6104, 0.6104, 0.6104]]}

---

Entry 24:
{"formula": "NbNiPb2", "functional": "PBE", "state": "relaxed", "energy_ha_per_atom": -0.1924, "density_kg_m3": 11464, "polymorph_energy_ev_per_atom": 0.0000, "magnetic_moment_mub_per_fu": 0.00, "space_group": "No. 225", "lattice_angstrom": [[-4.0130, -0.8855, 2.6246], [-4.3403, -0.2874, -2.2037], [-2.2613, -4.3034, -0.3798]], "species": ["Pb", "Pb", "Ni", "Nb"], "frac_coords": [[0.2500, 0.2500, 0.2500], [0.7500, 0.7500, 0.7500], [0.0000, 0.0000, 0.0000], [0.5000, 0.5000, 0.5000]]}

---

Entry 25:
{"formula": "K2TmPuS4", "functional": "PBE", "state": "relaxed", "energy_ha_per_atom": -0.2356, "density_kg_m3": 4896, "raw_formation_energy_ev_per_atom": -1.722, "magnetic_moment_mub_per_fu": 5.00, "space_group": "No. 10", "lattice_angstrom": [[4.0623, 0.0000, 0.0000], [0.0000, 7.0465, 0.1184], [0.0000, -2.4741, 7.2977]], "species": ["K", "K", "Tm", "Pu", "S", "S", "S", "S"], "frac_coords": [[0.5000, 0.0000, 0.5000], [0.0000, 0.5000, 0.5000], [0.5000, 0.5000, 0.0000], [0.0000, 0.0000, 0.0000], [0.5000, 0.2383, 0.1996], [0.5000, 0.7617, 0.8004], [0.0000, 0.2730, 0.7997], [0.0000, 0.7270, 0.2003]]}